# 1
# PBE Pr2YZr, optimized geometry
data_Pr2YZr
_chemical_formula_sum 'Pr6 Y3 Zr3'
_symmetry_space_group_name_H-M 'R -3 m'
_symmetry_Int_Tables_number 166
_symmetry_space_group_name_Hall '-R 3 2"'
_cell_length_a 3.4404
_cell_length_b 3.4404
_cell_length_c 36.7891
_cell_angle_alpha 90.00
_cell_angle_beta 90.00
_cell_angle_gamma 120.00
loop_
_atom_site_label
_atom_site_type_symbol
_atom_site_fract_x
_atom_site_fract_y
_atom_site_fract_z
Pr1 Pr 0.0000 0.0000 0.0850
Y1 Y 0.0000 0.0000 0.5000
Zr1 Zr 0.0000 0.0000 0.0000
# calculated density: 6.10 g/cm3
# size of the total moment: 0.00 μB/f.u.
# polymorph energy (0 for the lowest one): 190 meV per atom
# DFT formation energy: 126 kJ/mol of formula units

***

# 2
# PBE Pr14YZr, optimized geometry
data_Pr14YZr
_chemical_formula_sum 'Pr14 Y1 Zr1'
_symmetry_space_group_name_H-M 'P 4/m m m'
_symmetry_Int_Tables_number 123
_symmetry_space_group_name_Hall '-P 4 2'
_cell_length_a 7.336
_cell_length_b 7.336
_cell_length_c 10.387
_cell_angle_alpha 90.00
_cell_angle_beta 90.00
_cell_angle_gamma 90.00
loop_
_atom_site_label
_atom_site_type_symbol
_atom_site_fract_x
_atom_site_fract_y
_atom_site_fract_z
Pr1 Pr 0.000 0.000 0.000
Pr2 Pr 0.000 0.500 0.000
Pr3 Pr 0.000 0.500 0.500
Pr4 Pr 0.244 0.244 0.258
Pr5 Pr 0.500 0.500 0.000
Y1 Y 0.500 0.500 0.500
Zr1 Zr 0.000 0.000 0.500
# calculated density: 6.39 g/cm3
# size of the total moment: 0.00 μB/f.u.
# DFT formation energy: 75 kJ/mol of formula units

***

# 3
# PBE PrY2Zr, optimized geometry
data_PrY2Zr
_chemical_formula_sum 'Pr1 Y2 Zr1'
_symmetry_space_group_name_H-M 'P 4/m m m'
_symmetry_Int_Tables_number 123
_symmetry_space_group_name_Hall '-P 4 2'
_cell_length_a 4.931
_cell_length_b 4.931
_cell_length_c 4.954
_cell_angle_alpha 90.00
_cell_angle_beta 90.00
_cell_angle_gamma 90.00
loop_
_atom_site_label
_atom_site_type_symbol
_atom_site_fract_x
_atom_site_fract_y
_atom_site_fract_z
Pr1 Pr 0.000 0.000 0.000
Y1 Y 0.000 0.500 0.500
Zr1 Zr 0.500 0.500 0.000
# calculated density: 5.65 g/cm3
# size of the total moment: 0.00 μB/f.u.
# polymorph energy (0 for the lowest one): 28 meV per atom
# DFT formation energy: 47 kJ/mol of formula units

***

# 4
# PBE PrY2Zr, optimized geometry
data_PrY2Zr
_chemical_formula_sum 'Pr3 Y6 Zr3'
_symmetry_space_group_name_H-M 'R 3 m'
_symmetry_Int_Tables_number 160
_symmetry_space_group_name_Hall 'R 3 -2"'
_cell_length_a 3.5013
_cell_length_b 3.5013
_cell_length_c 34.2907
_cell_angle_alpha 90.00
_cell_angle_beta 90.00
_cell_angle_gamma 120.00
loop_
_atom_site_label
_atom_site_type_symbol
_atom_site_fract_x
_atom_site_fract_y
_atom_site_fract_z
Pr1 Pr 0.0000 0.0000 0.0000
Y1 Y 0.0000 0.0000 0.2438
Y2 Y 0.0000 0.0000 0.4237
Zr1 Zr 0.0000 0.0000 0.8338
# calculated density: 5.61 g/cm3
# size of the total moment: 0.00 μB/f.u.
# polymorph energy (0 for the lowest one): 1 meV per atom
# DFT formation energy: 37 kJ/mol of formula units

***

Please write out number 2 again, unchanged.
# PBE Pr14YZr, optimized geometry
data_Pr14YZr
_chemical_formula_sum 'Pr14 Y1 Zr1'
_symmetry_space_group_name_H-M 'P 4/m m m'
_symmetry_Int_Tables_number 123
_symmetry_space_group_name_Hall '-P 4 2'
_cell_length_a 7.336
_cell_length_b 7.336
_cell_length_c 10.387
_cell_angle_alpha 90.00
_cell_angle_beta 90.00
_cell_angle_gamma 90.00
loop_
_atom_site_label
_atom_site_type_symbol
_atom_site_fract_x
_atom_site_fract_y
_atom_site_fract_z
Pr1 Pr 0.000 0.000 0.000
Pr2 Pr 0.000 0.500 0.000
Pr3 Pr 0.000 0.500 0.500
Pr4 Pr 0.244 0.244 0.258
Pr5 Pr 0.500 0.500 0.000
Y1 Y 0.500 0.500 0.500
Zr1 Zr 0.000 0.000 0.500
# calculated density: 6.39 g/cm3
# size of the total moment: 0.00 μB/f.u.
# DFT formation energy: 75 kJ/mol of formula units